## one
PBE CsHg3Pb, optimized geometry; total magnetization = 0.00 μB/cell
1.0
-3.345 5.021 -1.035
-2.277 -2.563 -5.071
-4.593 -2.386 3.268
Hg Cs Pb
3 1 1
Direct
0.500 0.000 0.000 Hg
0.000 0.500 0.000 Hg
0.000 0.000 0.500 Hg
0.500 0.500 0.500 Cs
0.000 0.000 0.000 Pb

## two
PBE CsHg3Pb, optimized geometry; total magnetization = 2.66 μB/cell
1.0
6.833 0.000 0.000
0.000 6.833 0.000
0.000 0.000 6.833
Hg Cs Pb
3 1 1
Direct
0.500 0.000 0.000 Hg
0.000 0.500 0.000 Hg
0.000 0.000 0.500 Hg
0.000 0.000 0.000 Cs
0.500 0.500 0.500 Pb

Which is most stable, and by how much? one, by 51.4 kJ/mol of atoms.

## one
PBE CsHg2Pb6, optimized geometry; total magnetization = 0.00 μB/cell
1.0
-4.363 -0.090 0.966
-1.704 -8.932 1.952
-0.302 -2.857 8.846
Pb Cs Hg
6 1 2
Direct
0.307 0.370 0.017 Pb
0.500 0.664 0.336 Pb
0.693 0.983 0.630 Pb
0.500 0.336 0.664 Pb
0.307 0.017 0.370 Pb
0.693 0.630 0.983 Pb
0.000 0.000 0.000 Cs
0.875 0.626 0.626 Hg
0.125 0.374 0.374 Hg

## two
PBE CsHg2Pb6, optimized geometry; total magnetization = 0.00 μB/cell
1.0
5.065 0.000 0.000
0.000 5.065 0.000
0.000 0.000 11.937
Hg Pb Cs
2 6 1
Direct
0.500 0.500 0.875 Hg
0.500 0.500 0.125 Hg
0.000 0.000 0.500 Pb
0.000 0.500 0.704 Pb
0.500 0.000 0.704 Pb
0.500 0.000 0.296 Pb
0.000 0.500 0.296 Pb
0.500 0.500 0.500 Pb
0.000 0.000 0.000 Cs

Which is most stable, and by how much? two, by 11.5 kJ/mol of atoms.

## one
PBE Cs3HgPb, optimized geometry; total magnetization = 0.00 μB/cell
1.0
7.562 0.000 0.000
0.000 7.562 0.000
0.000 0.000 7.562
Cs Pb Hg
3 1 1
Direct
0.000 0.000 0.500 Cs
0.500 0.000 0.000 Cs
0.000 0.500 0.000 Cs
0.000 0.000 0.000 Pb
0.500 0.500 0.500 Hg

## two
PBE Cs3HgPb, optimized geometry; total magnetization = 0.02 μB/cell
1.0
9.566 -0.109 -0.305
-2.722 9.171 0.305
-4.055 -4.053 6.642
Pb Cs Hg
2 6 2
Direct
0.345 0.928 0.272 Pb
0.655 0.072 0.728 Pb
0.276 0.554 0.831 Cs
0.818 0.023 0.232 Cs
0.791 0.586 0.768 Cs
0.209 0.414 0.232 Cs
0.724 0.446 0.169 Cs
0.182 0.977 0.768 Cs
0.357 0.211 0.568 Hg
0.643 0.789 0.432 Hg

Which is most stable, and by how much? two, by 11.6 kJ/mol of atoms.

## one
PBE CsHgPbSe2, optimized geometry; total magnetization = 0.00 μB/cell
1.0
5.948 0.000 0.000
0.000 6.751 0.000
0.000 0.000 5.948
Se Hg Pb Cs
2 1 1 1
Direct
0.000 0.000 0.500 Se
0.500 0.000 0.000 Se
0.500 0.500 0.500 Hg
0.000 0.500 0.000 Pb
0.000 0.000 0.000 Cs

## two
PBE CsHgPbSe2, optimized geometry; total magnetization = 0.00 μB/cell
1.0
6.677 0.000 0.000
0.000 8.878 -0.661
0.000 -3.321 6.371
Pb Cs Se Hg
2 2 4 2
Direct
0.441 0.000 0.250 Pb
0.559 0.000 0.750 Pb
0.784 0.500 0.250 Cs
0.216 0.500 0.750 Cs
0.703 0.742 0.912 Se
0.703 0.258 0.588 Se
0.297 0.742 0.412 Se
0.297 0.258 0.088 Se
0.000 0.000 0.500 Hg
0.000 0.000 0.000 Hg

Which is most stable, and by how much? two, by 123.8 kJ/mol of atoms.

## one
PBE CsHgPd3, optimized geometry; total magnetization = 0.00 μB/cell
1.0
5.236 0.000 0.000
0.000 5.236 0.000
0.000 0.000 5.236
Pd Cs Hg
3 1 1
Direct
0.000 0.500 0.000 Pd
0.500 0.000 0.000 Pd
0.000 0.000 0.500 Pd
0.500 0.500 0.500 Cs
0.000 0.000 0.000 Hg

## two
PBE CsHgPd3, optimized geometry; total magnetization = 0.00 μB/cell
1.0
5.333 0.000 0.000
0.000 5.333 0.000
0.000 0.000 5.333
Hg Cs Pd
1 1 3
Direct
0.500 0.500 0.500 Hg
0.000 0.000 0.000 Cs
0.000 0.500 0.000 Pd
0.500 0.000 0.000 Pd
0.000 0.000 0.500 Pd

Which is most stable, and by how much? one, by 74.1 kJ/mol of atoms.

## one
PBE CsHgPd, optimized geometry; total magnetization = 0.00 μB/cell
1.0
-0.432 -4.455 1.704
-0.620 -3.670 -3.019
11.962 -2.411 -3.223
Cs Pd Hg
2 2 2
Direct
0.363 0.974 0.697 Cs
0.160 0.380 0.080 Cs
0.247 0.204 0.350 Pd
0.559 0.581 0.283 Pd
0.902 0.896 0.310 Hg
0.635 0.432 0.503 Hg

## two
PBE CsHgPd, optimized geometry; total magnetization = 0.00 μB/cell
1.0
2.102 7.969 4.537
-5.892 -7.233 -1.214
2.590 -2.706 3.554
Pd Cs Hg
2 2 2
Direct
0.752 0.248 0.250 Pd
0.248 0.752 0.750 Pd
0.395 0.605 0.250 Cs
0.605 0.395 0.750 Cs
0.192 0.808 0.250 Hg
0.808 0.192 0.750 Hg

Which is most stable, and by how much? one, by 1.3 kJ/mol of atoms.

## one
PBE CsHgPd, optimized geometry; total magnetization = 0.00 μB/cell
1.0
5.438 0.000 0.000
0.000 4.750 0.000
0.000 -2.375 4.114
Pd Cs Hg
1 1 1
Direct
0.167 0.000 0.000 Pd
0.667 0.667 0.333 Cs
0.167 0.333 0.667 Hg

## two
PBE CsHgPd, optimized geometry; total magnetization = 0.00 μB/cell
1.0
-0.477 0.178 3.874
-0.165 -3.900 0.159
6.617 1.626 -1.230
Cs Pd Hg
1 1 1
Direct
0.003 0.003 0.007 Cs
0.261 0.261 0.522 Pd
0.736 0.736 0.471 Hg

Which is most stable, and by how much? one, by 4.6 kJ/mol of atoms.

## one
PBE CsHg2Pd, optimized geometry; total magnetization = 0.00 μB/cell
1.0
5.404 0.000 0.000
0.000 8.188 0.000
0.000 0.000 12.496
Cs Hg Pd
4 8 4
Direct
0.750 0.654 0.618 Cs
0.750 0.154 0.882 Cs
0.250 0.846 0.118 Cs
0.250 0.346 0.382 Cs
0.750 0.613 0.923 Hg
0.750 0.113 0.577 Hg
0.250 0.387 0.077 Hg
0.250 0.887 0.423 Hg
0.750 0.641 0.280 Hg
0.750 0.141 0.220 Hg
0.250 0.359 0.720 Hg
0.250 0.859 0.780 Hg
0.750 0.928 0.387 Pd
0.250 0.072 0.613 Pd
0.250 0.572 0.887 Pd
0.750 0.428 0.113 Pd

## two
PBE CsHg2Pd, optimized geometry; total magnetization = 0.00 μB/cell
1.0
3.687 0.000 0.000
0.000 3.687 0.000
0.000 0.000 8.300
Pd Hg Cs
1 2 1
Direct
0.500 0.500 0.000 Pd
0.000 0.000 0.825 Hg
0.000 0.000 0.175 Hg
0.500 0.500 0.500 Cs

## three
PBE CsHg2Pd, optimized geometry; total magnetization = 0.00 μB/cell
1.0
0.000 3.965 3.965
3.965 0.000 3.965
3.965 3.965 0.000
Pd Hg Cs
1 2 1
Direct
0.000 0.000 0.000 Pd
0.250 0.250 0.250 Hg
0.750 0.750 0.750 Hg
0.500 0.500 0.500 Cs

## four
PBE CsHg2Pd, optimized geometry; total magnetization = 0.00 μB/cell
1.0
8.497 0.000 0.000
4.248 7.358 0.000
4.248 2.453 6.937
Cs Hg Pd
2 4 2
Direct
0.750 0.750 0.750 Cs
0.500 0.500 0.500 Cs
0.125 0.125 0.625 Hg
0.125 0.125 0.125 Hg
0.125 0.625 0.125 Hg
0.625 0.125 0.125 Hg
0.250 0.250 0.250 Pd
0.000 0.000 0.000 Pd

Which is most stable, and by how much? one, by 15.3 kJ/mol of atoms.

## one
PBE Cs3Hg7Pd2, optimized geometry; total magnetization = 0.00 μB/cell
1.0
5.462 0.000 0.000
0.000 5.399 -1.053
0.000 -0.033 14.197
Hg Pd Cs
7 2 3
Direct
0.000 0.799 0.598 Hg
0.000 0.201 0.402 Hg
0.000 0.402 0.804 Hg
0.000 0.598 0.196 Hg
0.500 0.098 0.195 Hg
0.500 0.902 0.805 Hg
0.000 0.000 0.000 Hg
0.000 0.100 0.199 Pd
0.000 0.900 0.801 Pd
0.500 0.689 0.377 Cs
0.500 0.311 0.623 Cs
0.500 0.500 0.000 Cs

## two
PBE Cs3Hg7Pd2, optimized geometry; total magnetization = 0.00 μB/cell
1.0
-5.000 -2.021 -0.928
1.254 -0.675 -5.284
6.892 -12.426 6.056
Hg Cs Pd
7 3 2
Direct
0.000 0.000 0.000 Hg
0.906 0.406 0.812 Hg
0.406 0.906 0.812 Hg
0.594 0.094 0.188 Hg
0.094 0.594 0.188 Hg
0.816 0.816 0.631 Hg
0.184 0.184 0.369 Hg
0.500 0.500 0.000 Cs
0.315 0.315 0.629 Cs
0.685 0.685 0.371 Cs
0.092 0.092 0.184 Pd
0.908 0.908 0.816 Pd

Which is most stable, and by how much? two, by 0.6 kJ/mol of atoms.

## one
PBE Cs3HgPd, optimized geometry; total magnetization = 0.76 μB/cell
1.0
-6.283 2.278 1.012
-2.391 -4.736 -4.189
-0.703 -4.251 5.208
Hg Cs Pd
1 3 1
Direct
0.500 0.500 0.500 Hg
0.000 0.500 0.000 Cs
0.500 0.000 0.000 Cs
0.000 0.000 0.500 Cs
0.000 0.000 0.000 Pd

## two
PBE Cs3HgPd, optimized geometry; total magnetization = 0.00 μB/cell
1.0
-3.946 2.517 -2.232
-5.079 -9.493 -1.727
-4.695 0.831 9.240
Cs Pd Hg
6 2 2
Direct
0.251 0.750 0.074 Cs
0.750 0.556 0.656 Cs
0.250 0.056 0.344 Cs
0.250 0.444 0.344 Cs
0.750 0.944 0.656 Cs
0.749 0.250 0.926 Cs
0.749 0.250 0.567 Pd
0.251 0.750 0.433 Pd
0.750 0.750 0.353 Hg
0.250 0.250 0.647 Hg

Which is most stable, and by how much? two, by 14.7 kJ/mol of atoms.

## one
PBE CsHg6Pd2, optimized geometry; total magnetization = 0.00 μB/cell
1.0
-0.983 -9.761 -1.232
7.644 -5.368 -3.244
4.609 -6.245 6.125
Cs Pd Hg
2 4 12
Direct
0.500 0.500 0.500 Cs
0.750 0.750 0.750 Cs
0.125 0.125 0.125 Pd
0.125 0.625 0.125 Pd
0.125 0.125 0.625 Pd
0.625 0.125 0.125 Pd
0.452 0.452 0.048 Hg
0.798 0.202 0.202 Hg
0.202 0.202 0.798 Hg
0.452 0.048 0.452 Hg
0.798 0.798 0.202 Hg
0.202 0.798 0.798 Hg
0.048 0.048 0.452 Hg
0.798 0.202 0.798 Hg
0.202 0.798 0.202 Hg
0.048 0.452 0.452 Hg
0.048 0.452 0.048 Hg
0.452 0.048 0.048 Hg

## two
PBE CsHg6Pd2, optimized geometry; total magnetization = 0.00 μB/cell
1.0
-2.622 2.629 -3.892
2.742 -2.762 -3.713
-7.621 -7.582 0.012
Hg Cs Pd
6 1 2
Direct
0.500 0.000 0.225 Hg
0.500 0.500 0.500 Hg
0.000 0.500 0.775 Hg
0.500 0.500 0.000 Hg
0.000 0.500 0.225 Hg
0.500 0.000 0.775 Hg
0.000 0.000 0.500 Cs
0.500 0.500 0.250 Pd
0.500 0.500 0.750 Pd

Which is most stable, and by how much? two, by 10.2 kJ/mol of atoms.